! CaGeP2O, optimized geometry, DFT PBE; values from VASP
&SYSTEM
  ibrav = 0, nat = 5, ntyp = 4
/
ATOMIC_SPECIES
Ca 40.08 Ca.upf
Ge 72.64 Ge.upf
P 30.97 P.upf
O 16.00 O.upf
CELL_PARAMETERS angstrom
5.0680 0.0000 0.0000
0.0000 5.0680 0.0000
0.0000 0.0000 3.6380
ATOMIC_POSITIONS angstrom
Ca 0.0000 0.0000 0.0000
Ge 2.5340 2.5340 1.8190
P 0.0000 2.5340 1.8190
P 2.5340 0.0000 1.8190
O 2.5340 2.5340 0.0000
! Raw total energy (eV/atom): -4.764
! Formation energy from raw total energies (eV/f.u.): -1.42
! DOS(E_F) (states/eV per cell): 4.1
! V (Å³ per cell): 93.4
! Mass density (g/cm³): 3.4